No. 1
A geometry-optimized MnTl2BS4 structure. Source: Alexandria via LeMat-Bulk, functional PBE-GGA.

Cell lengths 5.6475, 6.8186, 11.8294 Å; angles 84.33, 76.19, 65.54 degrees
Atoms (fractional coordinates):
Mn 0.7500 0.5000 0.5000
Mn 0.0000 0.0000 0.0000
Tl 0.1845 0.0000 0.6310
Tl 0.8155 0.0000 0.3690
Tl 0.5655 0.5000 0.8690
Tl 0.9345 0.5000 0.1310
B 0.2500 0.5000 0.5000
B 0.5000 0.0000 0.0000
S 0.3398 0.8162 0.0923
S 0.2483 0.1838 0.9077
S 0.8440 0.8162 0.9077
S 0.5679 0.1838 0.0923
S 0.4102 0.6838 0.4077
S 0.5017 0.3162 0.5923
S 0.9060 0.6838 0.5923
S 0.1821 0.3162 0.4077

Summary:
Fermi-level density of states (states/eV per cell): 5.62
E_form (uncorrected) (meV per atom): -387

=====

No. 2
A geometry-optimized MnB2WS structure. Source: Alexandria via LeMat-Bulk, functional PBE-GGA.

Cell lengths 4.1368, 5.0953, 4.1368 Å; angles 90.00, 90.00, 90.00 degrees
Atoms (fractional coordinates):
S 0.5000 0.5000 0.5000
Mn 0.0000 0.5000 0.0000
B 0.0000 0.0000 0.5000
B 0.5000 0.0000 0.0000
W 0.0000 0.0000 0.0000

Summary:
Fermi-level density of states (states/eV per cell): 3.42
E_form (uncorrected) (meV per atom): 1576

=====

No. 3
A geometry-optimized MnB3Sb structure. Source: Alexandria via LeMat-Bulk, functional PBE-GGA.

Cell lengths 3.9537, 3.9537, 3.9537 Å; angles 90.00, 90.00, 90.00 degrees
Atoms (fractional coordinates):
Sb 0.5000 0.5000 0.5000
B 0.0000 0.5000 0.0000
B 0.0000 0.0000 0.5000
B 0.5000 0.0000 0.0000
Mn 0.0000 0.0000 0.0000

Summary:
E above lowest polymorph (eV/atom): 0.000
Fermi-level density of states (states/eV per cell): 4.01
E_form (uncorrected) (meV per atom): 1117

=====

No. 4
A geometry-optimized Mn3BSb structure. Source: Alexandria via LeMat-Bulk, functional PBE-GGA.

Cell lengths 4.9631, 4.9631, 4.9631 Å; angles 90.00, 90.00, 90.00 degrees
Atoms (fractional coordinates):
Sb 0.0000 0.0000 0.0000
B 0.5000 0.5000 0.5000
Mn 0.0000 0.5000 0.0000
Mn 0.0000 0.0000 0.5000
Mn 0.5000 0.0000 0.0000

Summary:
E above lowest polymorph (eV/atom): 1.723
Fermi-level density of states (states/eV per cell): 2.42
E_form (uncorrected) (meV per atom): 1781

=====

No. 5
A geometry-optimized MnBSb3 structure. Source: Alexandria via LeMat-Bulk, functional PBE-GGA.

Cell lengths 4.8900, 4.8900, 4.8900 Å; angles 90.00, 90.00, 90.00 degrees
Atoms (fractional coordinates):
Sb 0.0000 0.5000 0.0000
Sb 0.0000 0.0000 0.5000
Sb 0.5000 0.0000 0.0000
B 0.5000 0.5000 0.5000
Mn 0.0000 0.0000 0.0000

Summary:
E above lowest polymorph (eV/atom): 0.000
Fermi-level density of states (states/eV per cell): 4.69
E_form (uncorrected) (meV per atom): 1212

=====

No. 6
A geometry-optimized Mn3BSb structure. Source: Alexandria via LeMat-Bulk, functional PBE-GGA.

Cell lengths 3.9333, 3.9333, 3.9333 Å; angles 90.00, 90.00, 90.00 degrees
Atoms (fractional coordinates):
Sb 0.5000 0.5000 0.5000
B 0.0000 0.0000 0.0000
Mn 0.0000 0.5000 0.0000
Mn 0.0000 0.0000 0.5000
Mn 0.5000 0.0000 0.0000

Summary:
E above lowest polymorph (eV/atom): 0.000
Fermi-level density of states (states/eV per cell): 5.62
E_form (uncorrected) (meV per atom): 58

=====

No. 7
A geometry-optimized MnBSb3 structure. Source: Alexandria via LeMat-Bulk, functional PBE-GGA.

Cell lengths 4.7246, 4.7246, 4.7246 Å; angles 90.00, 90.00, 90.00 degrees
Atoms (fractional coordinates):
Sb 0.0000 0.5000 0.0000
Sb 0.0000 0.0000 0.5000
Sb 0.5000 0.0000 0.0000
B 0.0000 0.0000 0.0000
Mn 0.5000 0.5000 0.5000

Summary:
E above lowest polymorph (eV/atom): 0.063
Fermi-level density of states (states/eV per cell): 8.44
E_form (uncorrected) (meV per atom): 1275

=====

No. 8
A geometry-optimized MnB3Sb structure. Source: Alexandria via LeMat-Bulk, functional PBE-GGA.

Cell lengths 4.3968, 4.3968, 4.3968 Å; angles 90.00, 90.00, 90.00 degrees
Atoms (fractional coordinates):
Sb 0.0000 0.0000 0.0000
B 0.0000 0.5000 0.0000
B 0.0000 0.0000 0.5000
B 0.5000 0.0000 0.0000
Mn 0.5000 0.5000 0.5000

Summary:
E above lowest polymorph (eV/atom): 1.625
Fermi-level density of states (states/eV per cell): 5.41
E_form (uncorrected) (meV per atom): 2743

=====

We obtain magnetization values of 4.00 2.58 0.88 11.29 0.00 3.33 0.29 0.28 μB/f.u. for the records listed above, in that order.
We obtain VASP energy values of -5.02 -6.35 -5.55 -5.88 -4.43 -7.60 -4.37 -3.92 eV per atom for the records listed above, in that order.
We obtain calculated volume values of 25.2 17.4 12.4 24.5 23.4 12.2 21.1 17.0 Å³/atom for the records listed above, in that order.